First-principles (GGA-PBE) data for a relaxed structure of ZrSc2MnB, as listed in the Alexandria database.

a b c (Å): 5.0895 4.2056 5.0895
angles (deg): 90.00 90.00 90.00
Site moments in Bohr magnetons follow the coordinates.
Positions (direct):
B (0.0000, 0.5000, 0.0000)  0.00
Zr (0.0000, 0.0000, 0.0000)  -0.05
Sc (0.0000, 0.0000, 0.5000)  -0.05
Mn (0.5000, 0.5000, 0.5000)  -0.02
Sc (0.5000, 0.0000, 0.0000)  -0.01

## Properties
Formation energy from the elements in eV per atom: 1.688
V in Å³/atom: 21.8
Total magnetic moment in μB/atom: 0.022
Space group: P4/mmm (123)